(one)
Pm2UN3: optimized geometry, PBE.

Computed properties:
The density of states at the Fermi level is 1.1935 states/eV/atom. Its space group is No. 164. The value obtained for the spin magnetization is 1.3 μB/cell.

Cell: 3.590 3.590 9.555 Å, 90.00 90.00 120.00°
Sites, in units of the cell vectors:
Pm: 0.333 0.667 0.353
Pm: 0.667 0.333 0.647
U: 0.000 0.000 0.000
N: 0.000 0.000 0.500
N: 0.333 0.667 0.102
N: 0.667 0.333 0.898



(two)
Pm2UN3: optimized geometry, PBE.

Computed properties:
The density of states at the Fermi level is 0.7114 states/eV/atom. Its space group is No. 71. The value obtained for the spin magnetization is 0.3 μB/cell.

Cell: 6.123 6.123 6.123 Å, 146.56 131.57 60.13°
Sites, in units of the cell vectors:
Pm: 0.167 0.167 0.000
Pm: 0.833 0.833 0.000
U: 0.500 0.500 0.000
N: 0.000 0.500 0.500
N: 0.361 0.861 0.500
N: 0.639 0.139 0.500



Quick ranking, most stable first: (two), (one).



(one)
Pm2WN4: optimized geometry, PBE.

Computed properties:
Its space group is No. 70. The value obtained for the spin magnetization is 0.0 μB/cell.

Cell: 8.326 7.248 6.257 Å, 75.73 57.52 46.75°
Sites, in units of the cell vectors:
Pm: 0.067 0.683 0.067
Pm: 0.317 0.933 0.317
Pm: 0.683 0.067 0.683
Pm: 0.933 0.317 0.933
W: 0.375 0.375 0.375
W: 0.625 0.625 0.625
N: 0.173 0.725 0.345
N: 0.256 0.345 0.725
N: 0.275 0.827 0.744
N: 0.345 0.256 0.173
N: 0.655 0.744 0.827
N: 0.725 0.173 0.256
N: 0.744 0.655 0.275
N: 0.827 0.275 0.655



(two)
Pm2WN4: optimized geometry, PBE.

Computed properties:
Its space group is No. 11. The value obtained for the spin magnetization is 0.0 μB/cell.

Cell: 5.922 5.998 6.843 Å, 90.00 108.61 90.00°
Sites, in units of the cell vectors:
Pm: 0.178 0.250 0.026
Pm: 0.266 0.250 0.561
Pm: 0.734 0.750 0.439
Pm: 0.822 0.750 0.974
W: 0.269 0.750 0.807
W: 0.731 0.250 0.193
N: 0.049 0.509 0.747
N: 0.049 0.991 0.747
N: 0.455 0.750 0.083
N: 0.477 0.750 0.651
N: 0.523 0.250 0.349
N: 0.545 0.250 0.917
N: 0.951 0.009 0.253
N: 0.951 0.491 0.253



Quick ranking, most stable first: (one), (two).



(one)
PmWN2: optimized geometry, PBE.

Computed properties:
The density of states at the Fermi level is 0.1056 states/eV/atom. Its space group is No. 62. The value obtained for the spin magnetization is 0.0 μB/cell.

Cell: 5.855 3.292 10.719 Å, 90.00 90.00 90.00°
Sites, in units of the cell vectors:
Pm: 0.079 0.250 0.144
Pm: 0.421 0.750 0.644
Pm: 0.579 0.250 0.356
Pm: 0.921 0.750 0.856
W: 0.063 0.750 0.405
W: 0.437 0.250 0.905
W: 0.563 0.750 0.095
W: 0.937 0.250 0.595
N: 0.165 0.250 0.748
N: 0.248 0.250 0.489
N: 0.252 0.750 0.989
N: 0.335 0.750 0.248
N: 0.665 0.250 0.752
N: 0.748 0.250 0.011
N: 0.752 0.750 0.511
N: 0.835 0.750 0.252



(two)
PmWN2: optimized geometry, PBE.

Computed properties:
The density of states at the Fermi level is 0.3492 states/eV/atom. Its space group is No. 166. The value obtained for the spin magnetization is 0.0 μB/cell.

Cell: 5.779 5.779 5.779 Å, 32.83 32.83 32.83°
Sites, in units of the cell vectors:
Pm: 0.000 0.000 0.000
W: 0.500 0.500 0.500
N: 0.235 0.235 0.235
N: 0.765 0.765 0.765



Quick ranking, most stable first: (one), (two).



(one)
PmYN2: optimized geometry, PBE.

Computed properties:
The density of states at the Fermi level is 0.0489 states/eV/atom. Its space group is No. 166. The value obtained for the spin magnetization is 0.0 μB/cell.

Cell: 6.146 6.146 6.146 Å, 33.55 33.55 33.55°
Sites, in units of the cell vectors:
Pm: 0.000 0.000 0.000
Y: 0.500 0.500 0.500
N: 0.247 0.247 0.247
N: 0.753 0.753 0.753



(two)
PmYN2: optimized geometry, PBE.

Computed properties:
The density of states at the Fermi level is 0.0212 states/eV/atom. Its space group is No. 164. The value obtained for the spin magnetization is 0.0 μB/cell.

Cell: 3.485 3.485 6.134 Å, 90.00 90.00 120.00°
Sites, in units of the cell vectors:
Pm: 0.000 0.000 0.000
Y: 0.000 0.000 0.500
N: 0.333 0.667 0.743
N: 0.667 0.333 0.257



Quick ranking, most stable first: (one), (two).



(one)
PmYN2: optimized geometry, PBE.

Computed properties:
Its space group is No. 160. The value obtained for the spin magnetization is 0.0 μB/cell.

Cell: 6.374 6.374 6.374 Å, 31.77 31.77 31.77°
Sites, in units of the cell vectors:
Pm: 0.000 0.000 0.000
Y: 0.171 0.171 0.171
N: 0.425 0.425 0.425
N: 0.589 0.589 0.589



(two)
PmYN2: optimized geometry, PBE.

Computed properties:
The density of states at the Fermi level is 0.0993 states/eV/atom. Its space group is No. 12. The value obtained for the spin magnetization is 0.0 μB/cell.

Cell: 6.143 6.143 5.023 Å, 114.13 114.13 48.26°
Sites, in units of the cell vectors:
Pm: 0.125 0.125 0.375
Pm: 0.875 0.875 0.625
Y: 0.375 0.375 0.124
Y: 0.625 0.625 0.876
N: 0.130 0.130 0.879
N: 0.380 0.380 0.631
N: 0.620 0.620 0.369
N: 0.870 0.870 0.121



Quick ranking, most stable first: (two), (one).



(one)
PmZrN2: optimized geometry, PBE.

Computed properties:
The density of states at the Fermi level is 0.4389 states/eV/atom. Its space group is No. 160. The value obtained for the spin magnetization is 0.0 μB/cell.

Cell: 6.224 6.224 6.224 Å, 31.09 31.09 31.09°
Sites, in units of the cell vectors:
Pm: 0.000 0.000 0.000
Zr: 0.827 0.827 0.827
N: 0.234 0.234 0.234
N: 0.423 0.423 0.423



(two)
PmZrN2: optimized geometry, PBE.

Computed properties:
The density of states at the Fermi level is 0.4014 states/eV/atom. Its space group is No. 166. The value obtained for the spin magnetization is 0.0 μB/cell.

Cell: 6.011 6.011 6.011 Å, 32.75 32.75 32.75°
Sites, in units of the cell vectors:
Pm: 0.000 0.000 0.000
Zr: 0.500 0.500 0.500
N: 0.240 0.240 0.240
N: 0.760 0.760 0.760



Quick ranking, most stable first: (two), (one).